# 1
This record from OQMD describes crystalline TaCdCoAs at its relaxed geometry. The functional is PBE.

abc: 4.574 4.574 4.574
angles: 60.00 60.00 60.00
Positions (direct):
Co1 0.750 0.750 0.750
As1 0.000 0.000 0.000
Ta1 0.500 0.500 0.500
Cd1 0.250 0.250 0.250

Values from the calculation:
ρ   10.48 g/cm3
E_tot   -5.502 eV/atom
Crystal system   cubic
Offset from the most stable computed form   18.32 kJ per mole of atoms


# 2
This record from OQMD describes crystalline Ho2Tc2O5 at its relaxed geometry. The functional is PBE.

abc: 6.717 3.958 3.958
angles: 90.00 90.00 90.00
Positions (direct):
Tc1 0.827 0.500 0.500
O1 0.767 0.000 0.500
Ho1 0.000 0.000 0.000
O2 0.233 0.000 0.500
Ho2 0.500 0.000 0.000
Tc2 0.173 0.500 0.500
O3 0.500 0.500 0.500
O4 0.767 0.500 0.000
O5 0.233 0.500 0.000

Values from the calculation:
ρ   9.56 g/cm3
E_tot   -8.004 eV/atom
Crystal system   tetragonal
Offset from the most stable computed form   0.00 kJ per mole of atoms